VASP calculation (PBE) on crystalline La2ZnTe at its relaxed geometry.

- raw formation energy (meV per atom) = -235
- energy above the lowest structure with this stoichiometry (eV per atom) = 0.646
- crystal system = cubic

```
data_La2ZnTe
_chemical_formula_sum 'La8 Zn4 Te4'
_space_group_name_H-M_alt 'F -4 3 m'
_space_group_IT_number 216
_space_group_name_Hall 'F -4 2 3'
_cell_length_a 7.656
_cell_length_b 7.656
_cell_length_c 7.656
_cell_angle_alpha 90.00
_cell_angle_beta 90.00
_cell_angle_gamma 90.00
loop_
_atom_site_label
_atom_site_type_symbol
_atom_site_fract_x
_atom_site_fract_y
_atom_site_fract_z
La1 La 0.000 0.000 0.000
La2 La 0.250 0.250 0.250
Zn1 Zn 0.250 0.250 0.750
Te1 Te 0.000 0.000 0.500
```